# 1
A plane-wave DFT calculation with PBE was carried out for Al4P after structural relaxation.

## Properties
distance to the lowest polymorph of the same formula	0.00	eV/f.u.
VASP energy	-3.9877	eV per atom

Cell lengths 4.877, 4.877, 4.877 Å; angles 100.12, 100.12, 130.42 degrees
Element x y z (fractional)
Al 0.801 0.396 0.197
Al 0.396 0.199 0.595
Al 0.199 0.604 0.803
Al 0.604 0.801 0.405
P 0.000 0.000 0.000

# 2
A plane-wave DFT calculation with PBE was carried out for TbErBeAl after structural relaxation.

## Properties
VASP energy	-4.2961	eV per atom

Cell lengths 4.970, 4.970, 4.970 Å; angles 60.00, 60.00, 60.00 degrees
Element x y z (fractional)
Be 0.000 0.000 0.000
Tb 0.250 0.250 0.250
Al 0.500 0.500 0.500
Er 0.750 0.750 0.750

# 3
A plane-wave DFT calculation with PBE was carried out for YTlTe2 after structural relaxation.

## Properties
formation energy (no corrections)	-895.2	meV per atom
VASP energy	-4.6736	eV per atom

Cell lengths 8.498, 4.192, 14.883 Å; angles 90.00, 90.00, 90.00 degrees
Element x y z (fractional)
Y 0.430 0.250 0.348
Y 0.070 0.750 0.848
Y 0.570 0.750 0.652
Y 0.930 0.250 0.152
Tl 0.082 0.250 0.580
Tl 0.418 0.750 0.080
Tl 0.918 0.750 0.420
Tl 0.582 0.250 0.920
Te 0.670 0.250 0.511
Te 0.830 0.750 0.011
Te 0.330 0.750 0.489
Te 0.170 0.250 0.989
Te 0.327 0.250 0.745
Te 0.173 0.750 0.245
Te 0.673 0.750 0.255
Te 0.827 0.250 0.755

Which total magnetic moment belongs to each record? In order, 0.0; 0.0; 0.0 μB per formula unit.